# HfSbAu3, optimized geometry, DFT GGA-PBE
data_HfSbAu3
_chemical_formula_sum 'Hf1 Sb1 Au3'
_space_group_name_H-M_alt 'P m -3 m'
_space_group_IT_number 221
_space_group_name_Hall '-P 4 2 3'
_cell_length_a 5.1787
_cell_length_b 5.1787
_cell_length_c 5.1787
_cell_angle_alpha 90.00
_cell_angle_beta 90.00
_cell_angle_gamma 90.00
loop_
_atom_site_label
_atom_site_fract_x
_atom_site_fract_y
_atom_site_fract_z
Hf1 0.0000 0.0000 0.0000
Sb1 0.5000 0.5000 0.5000
Au1 0.0000 0.0000 0.5000
# - Raw formation energy: 3.3 eV per formula unit
# - VASP energy: -4.116 eV per atom

---

# Hf6Sb3Au, optimized geometry, DFT GGA-PBE
data_Hf6Sb3Au
_chemical_formula_sum 'Hf24 Sb12 Au4'
_space_group_name_H-M_alt 'C m c 21'
_space_group_IT_number 36
_cell_length_a 10.6538
_cell_length_b 13.5679
_cell_length_c 6.4625
_cell_angle_alpha 90.00
_cell_angle_beta 90.00
_cell_angle_gamma 90.00
loop_
_space_group_symop_operation_xyz
'x,y,z'
'-x,-y,z+1/2'
'-x,y,z'
'x,-y,z+1/2'
'x+1/2,y+1/2,z'
'-x+1/2,-y+1/2,z+1/2'
'-x+1/2,y+1/2,z'
'x+1/2,-y+1/2,z+1/2'
loop_
_atom_site_label
_atom_site_fract_x
_atom_site_fract_y
_atom_site_fract_z
Hf1 0.0000 0.0886 0.0000
Hf2 0.0000 0.2392 0.4447
Hf3 0.1562 0.4266 0.5259
Hf4 0.2229 0.2694 0.1438
Sb1 0.0000 0.4113 0.1624
Sb2 0.1696 0.0746 0.3681
Au1 0.0000 0.2759 0.8455
# - Raw formation energy: -2.6 eV per formula unit
# - VASP energy: -7.800 eV per atom

---

# Hf2SbAu, optimized geometry, DFT GGA-PBE
data_Hf2SbAu
_chemical_formula_sum 'Hf2 Sb1 Au1'
_space_group_name_H-M_alt 'P 4/m m m'
_space_group_IT_number 123
_space_group_name_Hall '-P 4 2'
_cell_length_a 4.4493
_cell_length_b 4.4493
_cell_length_c 4.1687
_cell_angle_alpha 90.00
_cell_angle_beta 90.00
_cell_angle_gamma 90.00
loop_
_atom_site_label
_atom_site_fract_x
_atom_site_fract_y
_atom_site_fract_z
Hf1 0.0000 0.5000 0.0000
Sb1 0.0000 0.0000 0.5000
Au1 0.5000 0.5000 0.5000
# - Raw formation energy: -1.4 eV per formula unit
# - VASP energy: -7.187 eV per atom